[1]
## Sm6Tl3Ir (PBE-GGA)

Data for an optimized crystal structure of Sm6Tl3Ir.

Calculated values
SG ... P2_1/m (11)

Lattice parameters (Å, degrees): 3.788 11.502 14.595 107.80 90.00 90.00
Fractional positions:
Tl1 0.750 0.361 0.849
Tl2 0.250 0.885 0.952
Tl3 0.750 0.115 0.048
Tl4 0.750 0.641 0.518
Tl5 0.250 0.359 0.482
Tl6 0.250 0.639 0.151
Ir1 0.250 0.949 0.301
Ir2 0.750 0.051 0.699
Sm1 0.750 0.829 0.763
Sm2 0.750 0.098 0.431
Sm3 0.250 0.902 0.569
Sm4 0.250 0.596 0.916
Sm5 0.250 0.496 0.322
Sm6 0.750 0.775 0.343
Sm7 0.750 0.504 0.678
Sm8 0.750 0.879 0.139
Sm9 0.250 0.121 0.861
Sm10 0.250 0.225 0.657
Sm11 0.750 0.404 0.084
Sm12 0.250 0.171 0.237

***

[2]
## Sm6Tl5Ir (PBE-GGA)

Data for an optimized crystal structure of Sm6Tl5Ir.

Calculated values
SG ... Immm (71)

Lattice parameters (Å, degrees): 5.152 8.298 9.141 117.00 106.37 90.00
Fractional positions:
Tl1 0.690 0.190 0.380
Tl2 0.345 0.345 0.690
Tl3 0.310 0.810 0.620
Tl4 0.000 0.500 0.000
Tl5 0.655 0.655 0.310
Sm1 0.155 0.928 0.311
Sm2 0.845 0.072 0.689
Sm3 0.155 0.383 0.311
Sm4 0.500 0.789 0.000
Sm5 0.500 0.211 0.000
Sm6 0.845 0.617 0.689
Ir1 0.000 0.000 0.000

***

[3]
## SmYTlIr (PBE-GGA)

Data for an optimized crystal structure of SmYTlIr.

Calculated values
SG ... P4mm (99)
Relative energy among the computed polymorphs ... 0 meV per atom

Lattice parameters (Å, degrees): 3.507 3.507 8.102 90.00 90.00 90.00
Fractional positions:
Sm1 0.500 0.500 0.778
Tl1 0.000 0.000 0.078
Y1 0.500 0.500 0.365
Ir1 0.000 0.000 0.564

***

[4]
## SmYTlIr (PBE-GGA)

Data for an optimized crystal structure of SmYTlIr.

Calculated values
SG ... F-43m (216)
Relative energy among the computed polymorphs ... 123 meV per atom

Lattice parameters (Å, degrees): 5.156 5.156 5.156 60.00 60.00 60.00
Fractional positions:
Tl1 0.000 0.000 0.000
Sm1 0.750 0.750 0.750
Ir1 0.500 0.500 0.500
Y1 0.250 0.250 0.250

***

[5]
## Sm3Tm4Ir4 (PBE-GGA)

Data for an optimized crystal structure of Sm3Tm4Ir4.

Calculated values
SG ... Immm (71)

Lattice parameters (Å, degrees): 3.930 8.567 9.188 117.79 102.35 90.00
Fractional positions:
Tm1 0.668 0.477 0.337
Tm2 0.668 0.860 0.337
Tm3 0.332 0.523 0.663
Tm4 0.332 0.140 0.663
Ir1 0.500 0.214 0.000
Ir2 0.242 0.742 0.484
Ir3 0.758 0.258 0.516
Ir4 0.500 0.786 0.000
Sm1 0.898 0.898 0.796
Sm2 0.000 0.500 0.000
Sm3 0.102 0.102 0.204

***

[6]
## Sm2Tm2Ir3 (PBE-GGA)

Data for an optimized crystal structure of Sm2Tm2Ir3.

Calculated values
SG ... R-3m (166)

Lattice parameters (Å, degrees): 4.787 4.790 8.532 90.01 106.29 119.97
Fractional positions:
Ir1 0.494 0.748 0.241
Ir2 0.506 0.252 0.759
Ir3 0.000 0.000 0.000
Tm1 0.252 0.626 0.878
Tm2 0.748 0.374 0.122
Sm1 0.752 0.876 0.628
Sm2 0.248 0.124 0.372

***

[7]
## SmTmIr (PBE-GGA)

Data for an optimized crystal structure of SmTmIr.

Calculated values
SG ... P2_1/c (14)
Relative energy among the computed polymorphs ... 0 meV per atom

Lattice parameters (Å, degrees): 7.168 6.611 6.696 96.62 90.00 90.00
Fractional positions:
Ir1 0.457 0.203 0.797
Ir2 0.043 0.203 0.297
Ir3 0.543 0.797 0.203
Ir4 0.957 0.797 0.703
Tm1 0.764 0.065 0.005
Tm2 0.736 0.065 0.505
Tm3 0.236 0.935 0.995
Tm4 0.264 0.935 0.495
Sm1 0.891 0.603 0.275
Sm2 0.609 0.603 0.775
Sm3 0.109 0.397 0.725
Sm4 0.391 0.397 0.225

***

[8]
## SmTmIr (PBE-GGA)

Data for an optimized crystal structure of SmTmIr.

Calculated values
SG ... P2_1/m (11)
Relative energy among the computed polymorphs ... 47 meV per atom

Lattice parameters (Å, degrees): 4.524 5.196 7.441 112.34 90.00 90.00
Fractional positions:
Sm1 0.814 0.910 0.491
Sm2 0.314 0.323 0.348
Tm1 0.814 0.400 0.960
Tm2 0.314 0.833 0.880
Ir1 0.314 0.223 0.703
Ir2 0.814 0.010 0.136

***

[9]
## SmTm4Ir4 (PBE-GGA)

Data for an optimized crystal structure of SmTm4Ir4.

Calculated values
SG ... P4_2/n (86)

Lattice parameters (Å, degrees): 5.595 8.874 8.874 90.00 90.00 90.00
Fractional positions:
Tm1 0.607 0.905 0.666
Tm2 0.393 0.666 0.095
Tm3 0.107 0.834 0.405
Tm4 0.893 0.595 0.834
Tm5 0.107 0.166 0.595
Tm6 0.393 0.334 0.905
Tm7 0.893 0.405 0.166
Tm8 0.607 0.095 0.334
Ir1 0.105 0.135 0.284
Ir2 0.895 0.284 0.865
Ir3 0.105 0.865 0.716
Ir4 0.605 0.784 0.365
Ir5 0.895 0.716 0.135
Ir6 0.605 0.216 0.635
Ir7 0.395 0.635 0.784
Ir8 0.395 0.365 0.216
Sm1 0.500 0.500 0.500
Sm2 0.000 0.000 0.000

***

[10]
## SmTmIr (PBE-GGA)

Data for an optimized crystal structure of SmTmIr.

Calculated values
SG ... F-43m (216)
Relative energy among the computed polymorphs ... 57 meV per atom

Lattice parameters (Å, degrees): 4.826 4.826 4.826 60.00 60.00 60.00
Fractional positions:
Ir1 0.250 0.250 0.250
Tm1 0.000 0.000 0.000
Sm1 0.500 0.500 0.500

***

[11]
## SmTm2Ir (PBE-GGA)

Data for an optimized crystal structure of SmTm2Ir.

Calculated values
SG ... P4/mmm (123)
Relative energy among the computed polymorphs ... 116 meV per atom

Lattice parameters (Å, degrees): 3.439 3.439 8.794 90.00 90.00 90.00
Fractional positions:
Ir1 0.500 0.500 0.000
Tm1 0.000 0.000 0.816
Tm2 0.000 0.000 0.184
Sm1 0.500 0.500 0.500

***

Calculated formation energy, -3.27, -4.92, -2.27, -1.77, -7.60, -5.61, -2.15, -2.01, -6.01, -1.98, -1.88 eV/f.u. (same order as the records).